1.
Below is a relaxed Sn5S12Br3 crystal, with properties calculated at the PBE-GGA level.

Output
Symmetry ... No. 230
Energy ... -3.5317 eV per atom
Formation energy (no corrections) ... 3.9 eV/f.u.

Structure (CIF):
```
data_Sn5S12Br3
_chemical_formula_sum 'Sn20 S48 Br12'
_cell_length_a 14.154
_cell_length_b 14.154
_cell_length_c 14.154
_cell_angle_alpha 109.47
_cell_angle_beta 109.47
_cell_angle_gamma 109.47
_symmetry_space_group_name_H-M 'P 1'
_symmetry_Int_Tables_number 1
loop_
_symmetry_equiv_pos_as_xyz
'x,y,z'
loop_
_atom_site_label
_atom_site_fract_x
_atom_site_fract_y
_atom_site_fract_z
S1 0.610 0.635 0.438
S2 0.438 0.303 0.328
S3 0.562 0.697 0.672
S4 0.303 0.438 0.828
S5 0.975 0.365 0.303
S6 0.975 0.610 0.172
S7 0.635 0.025 0.197
S8 0.110 0.172 0.475
S9 0.135 0.438 0.110
S10 0.672 0.475 0.610
S11 0.525 0.328 0.890
S12 0.828 0.938 0.303
S13 0.172 0.110 0.975
S14 0.865 0.303 0.475
S15 0.365 0.390 0.062
S16 0.865 0.562 0.890
S17 0.390 0.025 0.328
S18 0.697 0.135 0.025
S19 0.562 0.865 0.390
S20 0.197 0.672 0.062
S21 0.672 0.197 0.562
S22 0.328 0.525 0.390
S23 0.328 0.803 0.438
S24 0.390 0.365 0.562
S25 0.890 0.062 0.865
S26 0.025 0.635 0.697
S27 0.110 0.938 0.135
S28 0.525 0.197 0.135
S29 0.938 0.110 0.635
S30 0.303 0.865 0.975
S31 0.135 0.697 0.525
S32 0.062 0.172 0.197
S33 0.610 0.975 0.672
S34 0.365 0.975 0.803
S35 0.062 0.890 0.365
S36 0.890 0.828 0.525
S37 0.025 0.390 0.828
S38 0.475 0.672 0.110
S39 0.938 0.828 0.803
S40 0.438 0.135 0.610
S41 0.475 0.803 0.865
S42 0.697 0.562 0.172
S43 0.803 0.328 0.938
S44 0.803 0.475 0.365
S45 0.828 0.890 0.025
S46 0.172 0.062 0.697
S47 0.635 0.610 0.938
S48 0.197 0.525 0.635
Br1 0.875 0.750 0.125
Br2 0.125 0.250 0.875
Br3 0.625 0.250 0.375
Br4 0.250 0.125 0.375
Br5 0.875 0.125 0.250
Br6 0.625 0.375 0.750
Br7 0.750 0.875 0.625
Br8 0.250 0.625 0.875
Br9 0.125 0.875 0.750
Br10 0.375 0.750 0.625
Br11 0.750 0.375 0.125
Br12 0.375 0.625 0.250
Sn1 0.375 0.250 0.125
Sn2 0.875 0.625 0.750
Sn3 0.500 0.000 0.000
Sn4 0.500 0.000 0.500
Sn5 0.125 0.375 0.250
Sn6 0.750 0.125 0.875
Sn7 0.375 0.125 0.750
Sn8 0.500 0.500 0.000
Sn9 0.750 0.625 0.375
Sn10 0.000 0.500 0.000
Sn11 0.625 0.750 0.875
Sn12 0.125 0.750 0.375
Sn13 0.250 0.875 0.125
Sn14 0.250 0.375 0.625
Sn15 0.500 0.500 0.500
Sn16 0.000 0.500 0.500
Sn17 0.875 0.250 0.625
Sn18 0.000 0.000 0.000
Sn19 0.625 0.875 0.250
Sn20 0.000 0.000 0.500
```

2.
Below is a relaxed Sn3SBr crystal, with properties calculated at the PBE-GGA level.

Output
Symmetry ... No. 221
ΔE to the lowest computed polymorph ... 3.112 eV/f.u.
Energy ... -2.7348 eV per atom
Formation energy (no corrections) ... 4.1 eV/f.u.

Structure (CIF):
```
data_Sn3SBr
_chemical_formula_sum 'Sn3 S1 Br1'
_cell_length_a 5.618
_cell_length_b 5.618
_cell_length_c 5.618
_cell_angle_alpha 90.00
_cell_angle_beta 90.00
_cell_angle_gamma 90.00
_symmetry_space_group_name_H-M 'P 1'
_symmetry_Int_Tables_number 1
loop_
_symmetry_equiv_pos_as_xyz
'x,y,z'
loop_
_atom_site_label
_atom_site_fract_x
_atom_site_fract_y
_atom_site_fract_z
Sn1 0.000 0.000 0.500
Sn2 0.000 0.500 0.000
Sn3 0.500 0.000 0.000
S1 0.500 0.500 0.500
Br1 0.000 0.000 0.000
```

3.
Below is a relaxed Sn4SBr6 crystal, with properties calculated at the PBE-GGA level.

Output
Symmetry ... No. 186
Energy ... -3.3884 eV per atom
Formation energy (no corrections) ... -7.1 eV/f.u.

Structure (CIF):
```
data_Sn4SBr6
_chemical_formula_sum 'Sn8 S2 Br12'
_cell_length_a 7.525
_cell_length_b 10.399
_cell_length_c 10.399
_cell_angle_alpha 120.00
_cell_angle_beta 90.00
_cell_angle_gamma 90.00
_symmetry_space_group_name_H-M 'P 1'
_symmetry_Int_Tables_number 1
loop_
_symmetry_equiv_pos_as_xyz
'x,y,z'
loop_
_atom_site_label
_atom_site_fract_x
_atom_site_fract_y
_atom_site_fract_z
Br1 0.126 0.463 0.537
Br2 0.626 0.926 0.463
Br3 0.472 0.151 0.849
Br4 0.972 0.849 0.699
Br5 0.972 0.301 0.151
Br6 0.472 0.151 0.301
Br7 0.472 0.699 0.849
Br8 0.972 0.849 0.151
Br9 0.626 0.537 0.463
Br10 0.626 0.537 0.074
Br11 0.126 0.074 0.537
Br12 0.126 0.463 0.926
Sn1 0.361 0.386 0.193
Sn2 0.861 0.193 0.807
Sn3 0.370 0.333 0.667
Sn4 0.361 0.807 0.193
Sn5 0.861 0.614 0.807
Sn6 0.861 0.193 0.386
Sn7 0.870 0.667 0.333
Sn8 0.361 0.807 0.614
S1 0.246 0.667 0.333
S2 0.746 0.333 0.667
```

4.
Below is a relaxed SnS2Br crystal, with properties calculated at the PBE-GGA level.

Output
Symmetry ... No. 122
ΔE to the lowest computed polymorph ... 0.749 eV/f.u.
Energy ... -3.4129 eV per atom
Formation energy (no corrections) ... 0.3 eV/f.u.

Structure (CIF):
```
data_SnS2Br
_chemical_formula_sum 'Sn2 S4 Br2'
_cell_length_a 7.266
_cell_length_b 7.266
_cell_length_c 6.700
_cell_angle_alpha 57.17
_cell_angle_beta 57.17
_cell_angle_gamma 90.00
_symmetry_space_group_name_H-M 'P 1'
_symmetry_Int_Tables_number 1
loop_
_symmetry_equiv_pos_as_xyz
'x,y,z'
loop_
_atom_site_label
_atom_site_fract_x
_atom_site_fract_y
_atom_site_fract_z
S1 0.375 0.304 0.750
S2 0.696 0.125 0.250
S3 0.054 0.625 0.250
S4 0.875 0.946 0.750
Br1 0.500 0.500 0.000
Br2 0.250 0.750 0.500
Sn1 0.750 0.250 0.500
Sn2 0.000 0.000 0.000
```

5.
Below is a relaxed Sr2SnS2Br2 crystal, with properties calculated at the PBE-GGA level.

Output
Symmetry ... No. 139
Energy ... -4.1263 eV per atom
Formation energy (no corrections) ... -9.9 eV/f.u.

Structure (CIF):
```
data_Sr2SnS2Br2
_chemical_formula_sum 'Sr2 Sn1 S2 Br2'
_cell_length_a 5.356
_cell_length_b 5.356
_cell_length_c 8.769
_cell_angle_alpha 107.78
_cell_angle_beta 107.78
_cell_angle_gamma 90.00
_symmetry_space_group_name_H-M 'P 1'
_symmetry_Int_Tables_number 1
loop_
_symmetry_equiv_pos_as_xyz
'x,y,z'
loop_
_atom_site_label
_atom_site_fract_x
_atom_site_fract_y
_atom_site_fract_z
Br1 0.197 0.197 0.393
Br2 0.803 0.803 0.607
Sr1 0.614 0.614 0.227
Sr2 0.386 0.386 0.773
Sn1 0.000 0.000 0.000
S1 0.500 0.000 0.000
S2 0.000 0.500 0.000
```

6.
Below is a relaxed Tl2SnSBr crystal, with properties calculated at the PBE-GGA level.

Output
Symmetry ... No. 123
Energy ... -2.5644 eV per atom
Formation energy (no corrections) ... 1.7 eV/f.u.

Structure (CIF):
```
data_Tl2SnSBr
_chemical_formula_sum 'Tl2 Sn1 S1 Br1'
_cell_length_a 5.944
_cell_length_b 5.013
_cell_length_c 5.944
_cell_angle_alpha 90.00
_cell_angle_beta 90.00
_cell_angle_gamma 90.00
_symmetry_space_group_name_H-M 'P 1'
_symmetry_Int_Tables_number 1
loop_
_symmetry_equiv_pos_as_xyz
'x,y,z'
loop_
_atom_site_label
_atom_site_fract_x
_atom_site_fract_y
_atom_site_fract_z
Tl1 0.000 0.000 0.500
Tl2 0.500 0.000 0.000
Sn1 0.500 0.500 0.500
Br1 0.000 0.000 0.000
S1 0.000 0.500 0.000
```

7.
Below is a relaxed VSnSBr2 crystal, with properties calculated at the PBE-GGA level.

Output
Symmetry ... No. 123
Energy ... -3.0980 eV per atom
Formation energy (no corrections) ... 5.1 eV/f.u.

Structure (CIF):
```
data_VSnSBr2
_chemical_formula_sum 'V1 Sn1 S1 Br2'
_cell_length_a 4.930
_cell_length_b 5.690
_cell_length_c 4.930
_cell_angle_alpha 90.00
_cell_angle_beta 90.00
_cell_angle_gamma 90.00
_symmetry_space_group_name_H-M 'P 1'
_symmetry_Int_Tables_number 1
loop_
_symmetry_equiv_pos_as_xyz
'x,y,z'
loop_
_atom_site_label
_atom_site_fract_x
_atom_site_fract_y
_atom_site_fract_z
V1 0.500 0.500 0.500
Br1 0.500 0.000 0.000
Br2 0.000 0.000 0.500
Sn1 0.000 0.500 0.000
S1 0.000 0.000 0.000
```

8.
Below is a relaxed SrS4Br crystal, with properties calculated at the PBE-GGA level.

Output
Symmetry ... No. 2
Energy ... -3.9601 eV per atom
Formation energy (no corrections) ... -3.9 eV/f.u.

Structure (CIF):
```
data_SrS4Br
_chemical_formula_sum 'Sr2 S8 Br2'
_cell_length_a 4.273
_cell_length_b 12.726
_cell_length_c 8.403
_cell_angle_alpha 61.43
_cell_angle_beta 83.64
_cell_angle_gamma 93.30
_symmetry_space_group_name_H-M 'P 1'
_symmetry_Int_Tables_number 1
loop_
_symmetry_equiv_pos_as_xyz
'x,y,z'
loop_
_atom_site_label
_atom_site_fract_x
_atom_site_fract_y
_atom_site_fract_z
S1 0.464 0.780 0.251
S2 0.334 0.509 0.425
S3 0.536 0.220 0.749
S4 0.666 0.491 0.575
S5 0.647 0.932 0.022
S6 0.353 0.068 0.978
S7 0.213 0.018 0.419
S8 0.787 0.982 0.581
Sr1 0.878 0.763 0.546
Sr2 0.122 0.237 0.454
Br1 0.705 0.349 0.184
Br2 0.295 0.651 0.816
```

9.
Below is a relaxed SrS2Br crystal, with properties calculated at the PBE-GGA level.

Output
Symmetry ... No. 166
ΔE to the lowest computed polymorph ... 1.677 eV/f.u.
Energy ... -3.6381 eV per atom
Formation energy (no corrections) ... -2.9 eV/f.u.

Structure (CIF):
```
data_SrS2Br
_chemical_formula_sum 'Sr1 S2 Br1'
_cell_length_a 7.870
_cell_length_b 7.870
_cell_length_c 7.870
_cell_angle_alpha 34.65
_cell_angle_beta 34.65
_cell_angle_gamma 34.65
_symmetry_space_group_name_H-M 'P 1'
_symmetry_Int_Tables_number 1
loop_
_symmetry_equiv_pos_as_xyz
'x,y,z'
loop_
_atom_site_label
_atom_site_fract_x
_atom_site_fract_y
_atom_site_fract_z
S1 0.890 0.890 0.890
S2 0.110 0.110 0.110
Br1 0.000 0.000 0.000
Sr1 0.500 0.500 0.500
```

10.
Below is a relaxed Sr6S5Br crystal, with properties calculated at the PBE-GGA level.

Output
Symmetry ... No. 12
Energy ... -4.7398 eV per atom
Formation energy (no corrections) ... -24.5 eV/f.u.

Structure (CIF):
```
data_Sr6S5Br
_chemical_formula_sum 'Sr6 S5 Br1'
_cell_length_a 7.450
_cell_length_b 7.458
_cell_length_c 7.454
_cell_angle_alpha 59.98
_cell_angle_beta 80.39
_cell_angle_gamma 70.51
_symmetry_space_group_name_H-M 'P 1'
_symmetry_Int_Tables_number 1
loop_
_symmetry_equiv_pos_as_xyz
'x,y,z'
loop_
_atom_site_label
_atom_site_fract_x
_atom_site_fract_y
_atom_site_fract_z
S1 0.500 0.500 0.000
S2 0.000 0.333 0.334
S3 0.500 0.162 0.676
S4 0.000 0.667 0.666
S5 0.500 0.838 0.324
Sr1 0.741 0.086 0.350
Sr2 0.259 0.563 0.350
Sr3 0.259 0.914 0.650
Sr4 0.741 0.737 0.000
Sr5 0.741 0.437 0.650
Sr6 0.259 0.263 0.000
Br1 0.000 0.000 0.000
```

11.
Below is a relaxed SrS5Br crystal, with properties calculated at the PBE-GGA level.

Output
Symmetry ... No. 5
Energy ... -3.9987 eV per atom
Formation energy (no corrections) ... -4.0 eV/f.u.

Structure (CIF):
```
data_SrS5Br
_chemical_formula_sum 'Sr1 S5 Br1'
_cell_length_a 7.457
_cell_length_b 4.547
_cell_length_c 9.285
_cell_angle_alpha 88.76
_cell_angle_beta 103.83
_cell_angle_gamma 131.57
_symmetry_space_group_name_H-M 'P 1'
_symmetry_Int_Tables_number 1
loop_
_symmetry_equiv_pos_as_xyz
'x,y,z'
loop_
_atom_site_label
_atom_site_fract_x
_atom_site_fract_y
_atom_site_fract_z
S1 0.105 0.605 0.210
S2 0.399 0.181 0.767
S3 0.369 0.586 0.767
S4 0.163 0.004 0.068
S5 0.906 0.064 0.068
Br1 0.741 0.741 0.481
Sr1 0.849 0.349 0.698
```

12.
Below is a relaxed Sr3S2Br crystal, with properties calculated at the PBE-GGA level.

Output
Symmetry ... No. 63
Energy ... -4.1915 eV per atom
Formation energy (no corrections) ... -10.2 eV/f.u.

Structure (CIF):
```
data_Sr3S2Br
_chemical_formula_sum 'Sr6 S4 Br2'
_cell_length_a 4.390
_cell_length_b 7.722
_cell_length_c 13.255
_cell_angle_alpha 90.00
_cell_angle_beta 90.00
_cell_angle_gamma 106.51
_symmetry_space_group_name_H-M 'P 1'
_symmetry_Int_Tables_number 1
loop_
_symmetry_equiv_pos_as_xyz
'x,y,z'
loop_
_atom_site_label
_atom_site_fract_x
_atom_site_fract_y
_atom_site_fract_z
S1 0.000 0.000 0.000
S2 0.481 0.963 0.750
S3 0.000 0.000 0.500
S4 0.519 0.037 0.250
Sr1 0.618 0.236 0.073
Sr2 0.904 0.809 0.250
Sr3 0.096 0.191 0.750
Sr4 0.382 0.764 0.927
Sr5 0.618 0.236 0.427
Sr6 0.382 0.764 0.573
Br1 0.243 0.485 0.250
Br2 0.757 0.515 0.750
```